No. 1
{"formula": "YIn2Ru", "functional": "PBE-GGA", "state": "optimized geometry", "density_g_cm3": 8.2, "formation_energy_mev_per_atom": -147, "dos_ef_per_ev_cell": 3.277, "lattice_angstrom": [[4.202, 0.000, 0.000], [0.000, 4.274, 0.000], [0.000, 0.000, 4.718]], "species": ["Y", "In", "In", "Ru"], "frac_coords": [[0.000, 0.000, 0.000], [0.000, 0.500, 0.500], [0.500, 0.000, 0.500], [0.500, 0.500, 0.000]]}

=====

No. 2
{"formula": "ReW2Cl", "functional": "PBE-GGA", "state": "optimized geometry", "density_g_cm3": 15.4, "formation_energy_uncorrected_mev_per_atom": 1070, "dos_ef_per_ev_cell": 4.985, "lattice_angstrom": [[0.000, 3.168, 3.168], [3.168, 0.000, 3.168], [3.168, 3.168, 0.000]], "species": ["Re", "W", "W", "Cl"], "frac_coords": [[0.000, 0.000, 0.000], [0.250, 0.250, 0.250], [0.750, 0.750, 0.750], [0.500, 0.500, 0.500]]}

=====

No. 3
{"formula": "LuAlZn2", "functional": "PBE-GGA", "state": "optimized geometry", "density_g_cm3": 7.4, "formation_energy_mev_per_atom": -246, "dos_ef_per_ev_cell": 1.722, "lattice_angstrom": [[2.161, 1.248, 4.628], [-2.161, 1.248, 4.628], [0.000, -2.496, 4.628]], "species": ["Lu", "Al", "Zn", "Zn"], "frac_coords": [[0.000, 0.000, 0.000], [0.500, 0.500, 0.500], [0.222, 0.222, 0.222], [0.778, 0.778, 0.778]]}

=====

No. 4
{"formula": "Cs4LiSn3Cl12", "functional": "PBE-GGA", "state": "optimized geometry", "density_g_cm3": 3.4, "formation_energy_uncorrected_mev_per_atom": -1495, "dos_ef_per_ev_cell": 2.684, "lattice_angstrom": [[-5.461, 5.461, 5.461], [5.461, -5.461, 5.461], [5.461, 5.461, -5.461]], "species": ["Cs", "Cs", "Cs", "Cs", "Li", "Sn", "Sn", "Sn", "Cl", "Cl", "Cl", "Cl", "Cl", "Cl", "Cl", "Cl", "Cl", "Cl", "Cl", "Cl"], "frac_coords": [[0.000, 0.000, 0.500], [0.000, 0.500, 0.000], [0.500, 0.000, 0.000], [0.500, 0.500, 0.500], [0.000, 0.000, 0.000], [0.000, 0.500, 0.500], [0.500, 0.000, 0.500], [0.500, 0.500, 0.000], [0.000, 0.249, 0.249], [0.000, 0.751, 0.751], [0.249, 0.000, 0.249], [0.249, 0.249, 0.000], [0.250, 0.500, 0.750], [0.250, 0.750, 0.500], [0.500, 0.250, 0.750], [0.500, 0.750, 0.250], [0.750, 0.250, 0.500], [0.750, 0.500, 0.250], [0.751, 0.000, 0.751], [0.751, 0.751, 0.000]]}

=====

No. 5
{"formula": "Sr2CaN", "functional": "PBE-GGA", "state": "optimized geometry", "density_g_cm3": 2.8, "formation_energy_uncorrected_mev_per_atom": -342, "dos_ef_per_ev_cell": 2.644, "lattice_angstrom": [[1.919, 1.108, 10.639], [-1.919, 1.108, 10.639], [0.000, -2.216, 10.639]], "species": ["Sr", "Sr", "Ca", "N"], "frac_coords": [[0.123, 0.123, 0.123], [0.877, 0.877, 0.877], [0.000, 0.000, 0.000], [0.500, 0.500, 0.500]]}

=====

No. 6
{"formula": "YCd", "functional": "PBE-GGA", "state": "optimized geometry", "density_g_cm3": 3.3, "formation_energy_mev_per_atom": 817, "dos_ef_per_ev_cell": 21.670, "lattice_angstrom": [[8.442, 0.000, 0.000], [0.000, 8.442, 0.000], [0.000, 0.000, 8.442]], "species": ["Y", "Y", "Y", "Y", "Y", "Y", "Cd", "Cd", "Cd", "Cd", "Cd", "Cd"], "frac_coords": [[0.000, 0.250, 0.500], [0.000, 0.750, 0.500], [0.250, 0.500, 0.000], [0.500, 0.000, 0.250], [0.500, 0.000, 0.750], [0.750, 0.500, 0.000], [0.000, 0.500, 0.250], [0.000, 0.500, 0.750], [0.250, 0.000, 0.500], [0.500, 0.250, 0.000], [0.500, 0.750, 0.000], [0.750, 0.000, 0.500]]}

=====

No. 7
{"formula": "RbSrLa2Os", "functional": "PBE-GGA", "state": "optimized geometry", "density_g_cm3": 5.2, "formation_energy_mev_per_atom": 139, "dos_ef_per_ev_cell": 4.992, "lattice_angstrom": [[5.667, 0.000, 0.000], [0.000, 5.667, 0.000], [0.000, 0.000, 6.427]], "species": ["Rb", "Sr", "La", "La", "Os"], "frac_coords": [[0.000, 0.000, 0.000], [0.500, 0.500, 0.000], [0.000, 0.500, 0.500], [0.500, 0.000, 0.500], [0.500, 0.500, 0.500]]}

=====

No. 8
{"formula": "PRhC2", "functional": "PBE-GGA", "state": "optimized geometry", "density_g_cm3": 5.7, "formation_energy_mev_per_atom": 350, "lattice_angstrom": [[3.579, -1.451, 0.000], [3.579, 1.451, 0.000], [-0.372, 0.000, 4.403]], "species": ["P", "Rh", "C", "C"], "frac_coords": [[0.000, 0.000, 0.000], [0.276, 0.276, 0.320], [0.528, 0.528, 0.749], [0.649, 0.649, 0.525]]}